The following is a DFT calculation (PBE) of an optimized crystal structure of CrCu2HgP.

Results
**D(E_F)**: 6.2 states/eV per cell
**Final energy**: -3.159 eV/atom
**Symmetry**: P4/mmm, No. 123
**Formation energy**: 1547 meV/atom

a = 4.494 Å, b = 4.494 Å, c = 4.981 Å
α = 90.00°, β = 90.00°, γ = 90.00°
Atoms (fractional coordinates):
Cr1 0.000 0.000 0.000
Cu1 0.000 0.500 0.000
Cu2 0.500 0.000 0.000
Hg1 0.000 0.000 0.500
P1 0.500 0.500 0.500

The following is a DFT calculation (PBE) of an optimized crystal structure of CrCu2HgS.

Results
**D(E_F)**: 1.8 states/eV per cell
**Final energy**: -4.214 eV/atom
**Symmetry**: P4/mmm, No. 123
**Polymorph energy (0 for the lowest one)**: 0.000 eV/atom

a = 4.388 Å, b = 4.388 Å, c = 4.597 Å
α = 90.00°, β = 90.00°, γ = 90.00°
Atoms (fractional coordinates):
Cr1 0.000 0.000 0.000
Cu1 0.000 0.500 0.500
Cu2 0.500 0.000 0.500
Hg1 0.500 0.500 0.000
S1 0.000 0.000 0.500

Which of these has the lowest final energy? CrCu2HgS

What is the final energy in the first record? -3.159 eV/atom